First-principles (PBE) data for a relaxed BeCd3I crystal, as listed in the Alexandria database.

a = 6.476 Å, b = 6.476 Å, c = 6.476 Å
α = 90.00°, β = 90.00°, γ = 90.00°
Space group Pm-3m (No. 221)
Inequivalent atoms, fractional coordinates:
Be 0.000 0.000 0.000 x1
Cd 0.000 0.500 0.500 x3
I 0.500 0.500 0.500 x1

Values from the calculation:
The calculation puts the polymorph energy (0 for the lowest one) at 903 meV/atom. Its calculated total energy is -0.5351 eV/atom.



First-principles (PBE) data for a relaxed ScTi2TlO crystal, as listed in the Alexandria database.

a = 4.193 Å, b = 4.193 Å, c = 4.549 Å
α = 90.00°, β = 90.00°, γ = 90.00°
Space group P4/mmm (No. 123)
Inequivalent atoms, fractional coordinates:
Sc 0.000 0.000 0.000 x1
Ti 0.000 0.500 0.500 x2
Tl 0.500 0.500 0.000 x1
O 0.000 0.000 0.500 x1

Values from the calculation:
Its calculated total energy is -6.9989 eV/atom.